one:
Here is crystalline TbDy2Tm9 at its relaxed geometry from Alexandria via LeMat-Bulk. Energies are from PBE.

Geometry as CIF:
```
data_TbDy2Tm9
_chemical_formula_sum 'Tb1 Dy2 Tm9'
_cell_length_a 11.0514
_cell_length_b 11.0514
_cell_length_c 3.4593
_cell_angle_alpha 90.00
_cell_angle_beta 90.00
_cell_angle_gamma 120.00
_space_group_name_H-M_alt 'P 6/m m m'
_space_group_IT_number 191
_space_group_name_Hall '-P 6 2'
loop_
_atom_site_label
_atom_site_fract_x
_atom_site_fract_y
_atom_site_fract_z
Tb1 0.0000 0.0000 0.0000
Dy1 0.3333 0.6667 0.0000
Tm1 0.0000 0.5000 0.0000
Tm2 0.1769 0.3538 0.5000
```


two:
Here is crystalline TbDy2Tm9 at its relaxed geometry from Alexandria via LeMat-Bulk. Energies are from PBE.

Geometry as CIF:
```
data_TbDy2Tm9
_chemical_formula_sum 'Tb1 Dy2 Tm9'
_cell_length_a 4.946
_cell_length_b 4.946
_cell_length_c 14.833
_cell_angle_alpha 90.00
_cell_angle_beta 90.00
_cell_angle_gamma 90.00
_space_group_name_H-M_alt 'P 4/m m m'
_space_group_IT_number 123
_space_group_name_Hall '-P 4 2'
loop_
_atom_site_label
_atom_site_fract_x
_atom_site_fract_y
_atom_site_fract_z
Tb1 0.000 0.000 0.000
Dy1 0.000 0.000 0.333
Tm1 0.000 0.500 0.167
Tm2 0.000 0.500 0.500
Tm3 0.500 0.500 0.000
Tm4 0.500 0.500 0.334
```


two wins, 2.9 kJ/mol of atoms ahead of the next structure.